(1)
## Ca2MnHg2Pd5 (PBE)

Data for a relaxed structure of Ca2MnHg2Pd5.

```
Ca2MnHg2Pd5
1.0
10.209 0.000 0.000
0.000 10.209 0.000
0.000 0.000 3.839
Ca Mn Hg Pd
4 2 4 10
Direct
0.168 0.332 0.000 Ca
0.332 0.832 0.000 Ca
0.668 0.168 0.000 Ca
0.832 0.668 0.000 Ca
0.000 0.000 0.000 Mn
0.500 0.500 0.000 Mn
0.134 0.634 0.000 Hg
0.366 0.134 0.000 Hg
0.634 0.866 0.000 Hg
0.866 0.366 0.000 Hg
0.000 0.500 0.500 Pd
0.052 0.813 0.500 Pd
0.187 0.052 0.500 Pd
0.313 0.552 0.500 Pd
0.448 0.313 0.500 Pd
0.500 0.000 0.500 Pd
0.552 0.687 0.500 Pd
0.687 0.448 0.500 Pd
0.813 0.948 0.500 Pd
0.948 0.187 0.500 Pd
```

- DOS(E_F): 9.43 states/eV/cell
- Energy of formation from the pure elements: -3.587 eV/f.u.
- Theoretical density: 8870 kg/m³


(2)
## ZrBiBr (PBE)

Data for a relaxed structure of ZrBiBr.

```
ZrBiBr
1.0
3.431 0.000 0.000
-0.009 7.078 0.000
-1.696 -2.825 7.372
Zr Bi Br
2 2 2
Direct
0.248 0.222 0.498 Zr
0.752 0.778 0.502 Zr
0.404 0.058 0.808 Bi
0.596 0.942 0.192 Bi
0.144 0.484 0.286 Br
0.856 0.516 0.714 Br
```

- DOS(E_F): 2.90 states/eV/cell
- Theoretical density: 7051 kg/m³
- Energy relative to the elements, uncorrected: -0.614 eV/atom


(3)
## BaPr2Sm (PBE)

Data for a relaxed structure of BaPr2Sm.

```
BaPr2Sm
1.0
5.376 0.000 0.000
0.000 5.376 0.000
0.000 0.000 5.433
Ba Pr Sm
1 2 1
Direct
0.000 0.000 0.000 Ba
0.000 0.500 0.500 Pr
0.500 0.000 0.500 Pr
0.500 0.500 0.000 Sm
```

- Offset from the most stable computed form: 86.0 meV/atom
- DOS(E_F): 7.17 states/eV/cell
- Energy of formation from the pure elements: 0.739 eV/f.u.
- Theoretical density: 6022 kg/m³


(4)
## HoAlZn2 (PBE)

Data for a relaxed structure of HoAlZn2.

```
HoAlZn2
1.0
4.329 0.000 0.000
0.000 4.329 0.000
0.000 0.000 4.059
Ho Al Zn
1 1 2
Direct
0.000 0.000 0.000 Ho
0.500 0.500 0.000 Al
0.000 0.500 0.500 Zn
0.500 0.000 0.500 Zn
```

- DOS(E_F): 1.61 states/eV/cell
- Energy of formation from the pure elements: -1.162 eV/f.u.
- Theoretical density: 7045 kg/m³


(5)
## NaTmTh2Sb4 (PBE)

Data for a relaxed structure of NaTmTh2Sb4.

```
NaTmTh2Sb4
1.0
7.602 0.000 0.000
0.000 4.511 0.000
-2.619 0.000 7.402
Na Tm Th Sb
1 1 2 4
Direct
0.000 0.000 0.000 Na
0.000 0.500 0.500 Tm
0.500 0.000 0.500 Th
0.500 0.500 0.000 Th
0.242 0.000 0.745 Sb
0.250 0.500 0.255 Sb
0.750 0.500 0.745 Sb
0.758 0.000 0.255 Sb
```

- DOS(E_F): 2.26 states/eV/cell
- Theoretical density: 7477 kg/m³
- Energy relative to the elements, uncorrected: -0.790 eV/atom


(6)
## LaTbAl6 (PBE)

Data for a relaxed structure of LaTbAl6.

```
LaTbAl6
1.0
6.473 0.000 0.000
-3.237 5.606 0.000
0.000 0.000 4.653
La Tb Al
1 1 6
Direct
0.000 0.000 0.000 La
0.667 0.333 0.500 Tb
0.047 0.523 0.000 Al
0.193 0.386 0.500 Al
0.193 0.807 0.500 Al
0.477 0.523 0.000 Al
0.477 0.953 0.000 Al
0.614 0.807 0.500 Al
```

- DOS(E_F): 3.06 states/eV/cell
- Energy of formation from the pure elements: -3.457 eV/f.u.
- Theoretical density: 4519 kg/m³